{"formula": "Pu2UHg", "functional": "PBE", "state": "relaxed", "e_form_ev_per_atom": 0.56, "e_above_lowest_polymorph_ev_per_atom": 0.438, "vol_a3_per_cell": 109.7, "e_tot_ev_per_atom": -9.507, "lattice": [[-1.7146, 3.0229, -1.3367], [-3.0978, -0.3632, -2.0338], [-6.6533, 1.3842, 6.4784]], "species": ["Pu", "Pu", "Hg", "U"], "fractional_positions": [[0.1139, 0.1139, 0.6583], [0.8861, 0.8861, 0.3417], [0.0000, 0.0000, 0.0000], [0.5000, 0.5000, 0.5000]]}

***

{"formula": "Pr3Ho2Mg3", "functional": "PBE", "state": "relaxed", "e_form_ev_per_atom": -0.07, "vol_a3_per_cell": 242.3, "e_tot_ev_per_atom": -3.607, "lattice": [[3.8171, 0.0000, 0.0000], [0.0000, 5.5812, 0.0000], [-1.9085, -2.7906, 11.3727]], "species": ["Ho", "Ho", "Pr", "Pr", "Pr", "Mg", "Mg", "Mg"], "fractional_positions": [[0.2638, 0.7638, 0.5276], [0.7362, 0.2362, 0.4724], [0.3737, 0.3737, 0.7473], [0.5000, 0.0000, 0.0000], [0.6263, 0.6263, 0.2527], [0.0000, 0.5000, 0.0000], [0.1203, 0.1203, 0.2407], [0.8797, 0.8797, 0.7593]]}

***

{"formula": "Li2SnHg", "functional": "PBE", "state": "relaxed", "e_form_ev_per_atom": -0.34, "e_above_lowest_polymorph_ev_per_atom": 0.009, "vol_a3_per_cell": 76.1, "e_tot_ev_per_atom": -2.370, "lattice": [[0.0000, 3.3631, 3.3631], [3.3631, 0.0000, 3.3631], [3.3631, 3.3631, 0.0000]], "species": ["Sn", "Hg", "Li", "Li"], "fractional_positions": [[0.0000, 0.0000, 0.0000], [0.5000, 0.5000, 0.5000], [0.7500, 0.7500, 0.7500], [0.2500, 0.2500, 0.2500]]}

***

{"formula": "KNa2Ac", "functional": "PBE", "state": "relaxed", "e_form_ev_per_atom": 0.22, "e_above_lowest_polymorph_ev_per_atom": 0.059, "vol_a3_per_cell": 189.5, "e_tot_ev_per_atom": -1.742, "lattice": [[-0.6794, -2.0349, 3.2287], [2.7149, -0.2227, 2.7580], [-4.7967, 11.1521, 8.3464]], "species": ["Na", "Na", "Ac", "K"], "fractional_positions": [[0.0832, 0.0832, 0.7504], [0.9168, 0.9168, 0.2496], [0.0000, 0.0000, 0.0000], [0.5000, 0.5000, 0.5000]]}

***

{"formula": "DyHf2Mo", "functional": "PBE", "state": "relaxed", "e_form_ev_per_atom": 0.34, "e_above_lowest_polymorph_ev_per_atom": 0.296, "vol_a3_per_cell": 93.8, "e_tot_ev_per_atom": -8.492, "lattice": [[-1.3740, -0.2656, -2.9047], [-2.8704, -1.4375, -0.3002], [-6.1538, 8.6021, 0.3350]], "species": ["Hf", "Hf", "Dy", "Mo"], "fractional_positions": [[0.1013, 0.1013, 0.6962], [0.8987, 0.8987, 0.3038], [0.0000, 0.0000, 0.0000], [0.5000, 0.5000, 0.5000]]}

***

{"formula": "V4AgSe8", "functional": "PBE", "state": "relaxed", "e_above_lowest_polymorph_ev_per_atom": 0.024, "vol_a3_per_cell": 279.1, "formation_energy_uncorrected_kj_per_mol_fu": -755.7, "e_tot_ev_per_atom": -5.772, "lattice": [[-6.2698, -1.7967, 3.3567], [0.1420, -2.8233, 6.7687], [-2.3876, 3.9759, 5.6831]], "species": ["Ag", "Se", "Se", "Se", "Se", "Se", "Se", "Se", "Se", "V", "V", "V", "V"], "fractional_positions": [[0.7500, 0.7500, 0.7500], [0.6333, 0.1222, 0.1222], [0.1222, 0.1222, 0.6333], [0.1738, 0.6087, 0.6087], [0.1222, 0.1222, 0.1222], [0.6087, 0.1738, 0.6087], [0.6087, 0.6087, 0.1738], [0.6087, 0.6087, 0.6087], [0.1222, 0.6333, 0.1222], [0.3596, 0.3596, 0.3596], [0.9213, 0.3596, 0.3596], [0.3596, 0.3596, 0.9213], [0.3596, 0.9213, 0.3596]]}

***

{"formula": "MnCr2Ir", "functional": "PBE", "state": "relaxed", "e_form_ev_per_atom": 0.03, "vol_a3_per_cell": 50.4, "e_tot_ev_per_atom": -9.292, "lattice": [[-2.4298, -0.6334, 0.9334], [-0.6285, -1.9081, -2.9308], [2.0233, -4.2875, 2.3574]], "species": ["Cr", "Cr", "Mn", "Ir"], "fractional_positions": [[0.5000, 0.5000, 0.2498], [0.0000, 0.0000, 0.9914], [0.5000, 0.5000, 0.7679], [0.0000, 0.0000, 0.4909]]}

***

{"formula": "SrNiSb2", "functional": "PBE", "state": "relaxed", "vol_a3_per_cell": 103.7, "formation_energy_uncorrected_kj_per_mol_fu": -171.6, "e_tot_ev_per_atom": -4.372, "lattice": [[-1.7690, -6.6535, -2.2654], [1.8207, -5.6442, -4.1664], [1.8590, -7.0023, -0.2075]], "species": ["Sr", "Sb", "Sb", "Ni"], "fractional_positions": [[0.4955, 0.4955, 0.4955], [0.2806, 0.2806, 0.2806], [0.0538, 0.0538, 0.0538], [0.6701, 0.6701, 0.6701]]}